Entry 1:
Compound: Cs2AlSbTe4
Source: Alexandria via LeMat-Bulk
Functional: PBE-GGA
Structure: optimized geometry

Summary:
Volume   376.7 Å³/f.u.
Uncorrected energy   -0.125 Ha/atom
Total moment   0.000 μB per formula unit

Lattice parameters (Å, degrees): 7.0668 8.6460 13.9637 84.06 75.34 65.88
Positions (direct):
Al (0.2500, 0.5000, 0.5000)
Al (0.5000, 0.0000, 0.0000)
Cs (0.9319, 0.5000, 0.1362)
Cs (0.5681, 0.5000, 0.8638)
Cs (0.8181, 0.0000, 0.3638)
Cs (0.1819, 0.0000, 0.6362)
Te (0.8718, 0.8029, 0.8867)
Te (0.3253, 0.8029, 0.1133)
Te (0.2415, 0.1971, 0.8867)
Te (0.1886, 0.3029, 0.3867)
Te (0.5614, 0.1971, 0.1133)
Te (0.5085, 0.3029, 0.6133)
Te (0.8782, 0.6971, 0.6133)
Te (0.4247, 0.6971, 0.3867)
Sb (0.0000, 0.0000, 0.0000)
Sb (0.7500, 0.5000, 0.5000)

***

Entry 2:
Compound: Ba2CdPd12Pt3
Source: Alexandria via LeMat-Bulk
Functional: PBE-GGA
Structure: optimized geometry

Summary:
E_form   -0.06 eV per atom
Volume   338.0 Å³/f.u.
Uncorrected energy   -0.176 Ha/atom
Total moment   0.000 μB per formula unit

Lattice parameters (Å, degrees): 7.0052 7.0052 7.0052 83.72 83.72 83.72
Positions (direct):
Pd (0.4141, 0.4141, 0.8625)
Pd (0.7170, 0.1980, 0.1980)
Pd (0.8020, 0.2830, 0.8020)
Pd (0.4141, 0.8625, 0.4141)
Pd (0.1980, 0.7170, 0.1980)
Pd (0.2830, 0.8020, 0.8020)
Pd (0.5859, 0.5859, 0.1375)
Pd (0.1980, 0.1980, 0.7170)
Pd (0.8625, 0.4141, 0.4141)
Pd (0.8020, 0.8020, 0.2830)
Pd (0.1375, 0.5859, 0.5859)
Pd (0.5859, 0.1375, 0.5859)
Pt (0.0000, 0.0000, 0.5000)
Pt (0.0000, 0.5000, 0.0000)
Pt (0.5000, 0.0000, 0.0000)
Ba (0.2802, 0.2802, 0.2802)
Ba (0.7198, 0.7198, 0.7198)
Cd (0.0000, 0.0000, 0.0000)

***

Entry 3:
Compound: MnCr2Rh
Source: Alexandria via LeMat-Bulk
Functional: PBE-GGA
Structure: optimized geometry

Summary:
E_form   0.10 eV per atom
Volume   49.6 Å³/f.u.
Distance to the lowest polymorph of the same formula   107 meV/atom
Uncorrected energy   -0.325 Ha/atom
Total moment   1.666 μB per formula unit

Lattice parameters (Å, degrees): 3.8773 2.5768 5.1761 73.37 90.00 90.00
Positions (direct):
Cr (0.5000, 0.1896, 0.2487)
Cr (0.0000, 0.0765, 0.0143)
Rh (0.5000, 0.7959, 0.7546)
Mn (0.0000, 0.4380, 0.4824)

***

Entry 4:
Compound: Hf2Nb2Sn
Source: Alexandria via LeMat-Bulk
Functional: PBE-GGA
Structure: optimized geometry

Summary:
E_form   -0.03 eV per atom
Volume   102.6 Å³/f.u.
Distance to the lowest polymorph of the same formula   0 meV/atom
Uncorrected energy   -0.325 Ha/atom
Total moment   0.000 μB per formula unit

Lattice parameters (Å, degrees): 4.9056 6.0601 7.6650 107.19 108.66 90.00
Positions (direct):
Sn (0.5000, 0.7500, 0.0000)
Sn (0.5000, 0.2500, 0.0000)
Nb (0.9032, 0.3587, 0.8062)
Nb (0.0969, 0.1413, 0.1938)
Nb (0.0968, 0.6413, 0.1938)
Nb (0.9031, 0.8587, 0.8062)
Hf (0.2916, 0.4269, 0.5833)
Hf (0.7084, 0.5731, 0.4167)
Hf (0.2916, 0.9269, 0.5833)
Hf (0.7084, 0.0731, 0.4167)

***

Entry 5:
Compound: TaMn2Tc
Source: Alexandria via LeMat-Bulk
Functional: PBE-GGA
Structure: optimized geometry

Summary:
E_form   -0.01 eV per atom
Volume   56.1 Å³/f.u.
Distance to the lowest polymorph of the same formula   58 meV/atom
Uncorrected energy   -0.373 Ha/atom
Total moment   2.694 μB per formula unit

Lattice parameters (Å, degrees): 5.0051 5.0051 4.2684 64.80 64.80 35.94
Positions (direct):
Mn (0.7429, 0.7429, 0.7573)
Mn (0.9969, 0.9969, 0.0029)
Tc (0.2576, 0.2576, 0.2425)
Ta (0.5026, 0.5026, 0.4973)

***

Entry 6:
Compound: CaYZn10
Source: Alexandria via LeMat-Bulk
Functional: PBE-GGA
Structure: optimized geometry

Summary:
E_form   -0.25 eV per atom
Volume   209.5 Å³/f.u.
Uncorrected energy   -0.074 Ha/atom
Total moment   0.000 μB per formula unit

Lattice parameters (Å, degrees): 4.2436 5.3448 9.2365 90.00 90.00 90.00
Positions (direct):
Y (0.0000, 0.0000, 0.0000)
Zn (0.0000, 0.0000, 0.3345)
Zn (0.0000, 0.0000, 0.6655)
Zn (0.5000, 0.2449, 0.2428)
Zn (0.5000, 0.5000, 0.0000)
Zn (0.5000, 0.0000, 0.5000)
Zn (0.5000, 0.7551, 0.7572)
Zn (0.0000, 0.5000, 0.1676)
Zn (0.5000, 0.2449, 0.7572)
Zn (0.0000, 0.5000, 0.8324)
Zn (0.5000, 0.7551, 0.2428)
Ca (0.0000, 0.5000, 0.5000)